Below is a relaxed structure of AuSeBr2, with properties calculated at the PBE level.

Properties
Formation energy without anion corrections in eV/atom: 0.43
M_tot in Bohr magnetons per cell: 0.27
VASP energy in eV per atom: -2.101
Symmetry: No. 166

a b c (Å): 7.8160 7.8160 7.8160
angles (deg): 29.07 29.07 29.07
Sites, in units of the cell vectors:
Au  0.0000  0.0000  0.0000
Se  0.5000  0.5000  0.5000
Br  0.2611  0.2611  0.2611
Br  0.7389  0.7389  0.7389

=====

Below is a relaxed structure of TeIr2Rh, with properties calculated at the PBE level.

Properties
Formation energy without anion corrections in eV/atom: 0.77
M_tot in Bohr magnetons per cell: 0.00
VASP energy in eV per atom: -6.282
Symmetry: No. 122

a b c (Å): 7.4486 7.4486 7.4486
angles (deg): 137.48 137.48 61.71
Sites, in units of the cell vectors:
Te  0.0000  0.0000  0.0000
Te  0.7500  0.2500  0.5000
Ir  0.1455  0.6250  0.0205
Ir  0.3750  0.3955  0.5205
Ir  0.6045  0.1250  0.9795
Ir  0.8750  0.8545  0.4795
Rh  0.2500  0.7500  0.5000
Rh  0.5000  0.5000  0.0000

=====

Below is a relaxed structure of HfTl3Sn2Se6, with properties calculated at the PBE level.

Properties
Formation energy without anion corrections in eV/atom: -0.66
M_tot in Bohr magnetons per cell: 0.00
VASP energy in eV per atom: -4.494
Symmetry: No. 12

a b c (Å): 7.2204 7.2204 7.9732
angles (deg): 98.58 98.58 119.72
Sites, in units of the cell vectors:
Hf  0.0000  0.0000  0.0000
Tl  0.1712  0.8288  0.5000
Tl  0.5000  0.5000  0.5000
Tl  0.8288  0.1712  0.5000
Sn  0.3337  0.6663  0.0000
Sn  0.6663  0.3337  0.0000
Se  0.0657  0.3746  0.1991
Se  0.2398  0.2398  0.7955
Se  0.3746  0.0657  0.1991
Se  0.6254  0.9343  0.8009
Se  0.7602  0.7602  0.2045
Se  0.9343  0.6254  0.8009